The following is a meta-GGA SCAN calculation of a PBEsol-optimized structure of Bi2P3O12, from the Alexandria database.

Lattice parameters (Å, degrees): 8.6521 9.1219 12.1910 90.00 91.55 90.00
Last column: nearest neighbours and their distance in Å.
Sites, in units of the cell vectors:
Bi1 0.2457 0.5331 0.1158  6 O 2.21-2.27
Bi2 0.7543 0.4669 0.8842  6 O 2.21-2.27
Bi3 0.2511 0.9598 0.8861  6 O 2.13-2.16
Bi4 0.7489 0.0402 0.1139  6 O 2.13-2.16
Bi5 0.2543 0.0331 0.3842  6 O 2.21-2.27
Bi6 0.2489 0.4598 0.6139  6 O 2.13-2.16
Bi7 0.7457 0.9669 0.6158  6 O 2.21-2.27
Bi8 0.7511 0.5402 0.3861  6 O 2.13-2.16
P1 0.5429 0.7510 0.9934  4 O 1.53-1.56
P2 0.3999 0.1263 0.6639  4 O 1.53-1.56
P3 0.9571 0.2510 0.5066  4 O 1.53-1.56
P4 0.1038 0.8808 0.1436  4 O 1.53-1.57
P5 0.1001 0.6263 0.8361  4 O 1.53-1.56
P6 0.6038 0.6192 0.6436  4 O 1.53-1.57
P7 0.8962 0.1192 0.8564  4 O 1.53-1.57
P8 0.4571 0.2490 0.0066  4 O 1.53-1.56
P9 0.0429 0.7490 0.4934  4 O 1.53-1.56
P10 0.8999 0.3737 0.1639  4 O 1.53-1.56
P11 0.3962 0.3808 0.3564  4 O 1.53-1.57
P12 0.6001 0.8737 0.3361  4 O 1.53-1.56
O1 0.2709 0.4007 0.4446  1 P 1.56
O2 0.6299 0.7729 0.6926  1 P 1.54
O3 0.8846 0.9992 0.7687  1 P 1.53
O4 0.5794 0.8776 0.0756  1 P 1.56
O5 0.8701 0.2729 0.8074  1 P 1.54
O6 0.7709 0.0993 0.9446  1 P 1.56
O7 0.6223 0.7093 0.3041  1 P 1.56
O8 0.9390 0.8914 0.0880  1 P 1.57
O9 0.5610 0.3914 0.4120  1 P 1.57
O10 0.0610 0.1086 0.9120  1 P 1.57
O11 0.9399 0.6941 0.3944  1 P 1.56
O12 0.9206 0.3776 0.4244  1 P 1.56
O13 0.6165 0.8951 0.4600  1 P 1.53
O14 0.8835 0.3951 0.0400  1 P 1.53
O15 0.3701 0.2271 0.3074  1 P 1.54
O16 0.1933 0.8066 0.4445  1 P 1.54
O17 0.1299 0.7271 0.1926  1 P 1.54
O18 0.9362 0.5872 0.7938  1 P 1.54
O19 0.5638 0.0872 0.7062  1 P 1.54
O20 0.3067 0.3066 0.0555  1 P 1.54
O21 0.8777 0.2093 0.1959  1 P 1.56
O22 0.2291 0.9007 0.0554  1 P 1.56
O23 0.9664 0.8700 0.5600  1 P 1.53
O24 0.0336 0.1300 0.4400  1 P 1.53
O25 0.5336 0.3700 0.9400  1 P 1.53
O26 0.6154 0.4992 0.7313  1 P 1.53
O27 0.1154 0.0008 0.2313  1 P 1.53
O28 0.0601 0.3059 0.6056  1 P 1.56
O29 0.7291 0.5993 0.5554  1 P 1.56
O30 0.2243 0.5281 0.7809  1 P 1.56
O31 0.4390 0.6086 0.5880  1 P 1.57
O32 0.3835 0.1049 0.5400  1 P 1.53
O33 0.4206 0.1224 0.9244  1 P 1.56
O34 0.0638 0.4128 0.2062  1 P 1.54
O35 0.8067 0.1934 0.5555  1 P 1.54
O36 0.5601 0.1941 0.1056  1 P 1.56
O37 0.7757 0.4719 0.2191  1 P 1.56
O38 0.1223 0.7907 0.8041  1 P 1.56
O39 0.1165 0.6049 0.9600  1 P 1.53
O40 0.2757 0.0281 0.7191  1 P 1.56
O41 0.4362 0.9128 0.2938  1 P 1.54
O42 0.6933 0.6934 0.9445  1 P 1.54
O43 0.4399 0.8059 0.8944  1 P 1.56
O44 0.3777 0.2907 0.6959  1 P 1.56
O45 0.0794 0.6224 0.5756  1 P 1.56
O46 0.7243 0.9719 0.2809  1 P 1.56
O47 0.4664 0.6300 0.0600  1 P 1.53
O48 0.3846 0.5008 0.2687  1 P 1.53

## Properties
Spin magnetization = 0.00 μB/f.u.
E_form (uncorrected) = -1771 meV per atom